Computed, not measured: an optimized crystal structure of Mg14TiMnO16 at the GGA+U level of DFT.

The structure in CIF format:
```
data_Mg14TiMnO16
_space_group_name_H-M_alt 'P 1'
_space_group_IT_number 1
_cell_length_a 8.590
_cell_length_b 8.610
_cell_length_c 4.275
_cell_angle_alpha 90.00
_cell_angle_beta 90.00
_cell_angle_gamma 90.00
loop_
_space_group_symop_operation_xyz
'x,y,z'
loop_
_atom_site_label
_atom_site_fract_x
_atom_site_fract_y
_atom_site_fract_z
Mg1 0.500 0.000 0.000
Mg2 0.500 0.500 0.000
Mg3 0.000 0.249 0.500
Mg4 0.000 0.751 0.500
Mg5 0.500 0.250 0.500
Mg6 0.500 0.750 0.500
Mg7 0.252 0.000 0.500
Mg8 0.252 0.500 0.500
Mg9 0.748 0.000 0.500
Mg10 0.748 0.500 0.500
Mg11 0.252 0.250 0.000
Mg12 0.252 0.750 0.000
Mg13 0.748 0.250 0.000
Mg14 0.748 0.750 0.000
Ti1 0.000 0.500 0.000
Mn1 0.000 0.000 0.000
O1 0.258 0.000 0.000
O2 0.256 0.500 0.000
O3 0.742 0.000 0.000
O4 0.744 0.500 0.000
O5 0.249 0.250 0.500
O6 0.249 0.750 0.500
O7 0.751 0.250 0.500
O8 0.751 0.750 0.500
O9 0.000 0.000 0.500
O10 0.000 0.500 0.500
O11 0.500 0.000 0.500
O12 0.500 0.500 0.500
O13 0.000 0.251 0.000
O14 0.000 0.749 0.000
O15 0.500 0.251 0.000
O16 0.500 0.749 0.000
```

Calculated values
Total DFT energy (no corrections)   -0.2289 Ha/atom
Space group   No. 47
Calculated density   3.67 g cm⁻³